# 1
An optimized crystal structure of NaMgBiO4, computed with PBE-GGA.

The value obtained for the formation energy without anion corrections is -1.58 eV/atom.

The space group is Imma (No. 74) and the conventional cell measures 6.4526, 6.6826 and 9.1206 Å, with angles of 90.00, 90.00 and 90.00 degrees. The inequivalent atoms are Na at (0.0000, 0.2500, 0.1421), Mg at (0.2500, 0.2500, 0.7500), Bi at (0.0000, 0.0000, 0.5000), O at (0.0000, 0.0373, 0.7276) and O at (0.2235, 0.2500, 0.5092).

# 2
An optimized crystal structure of Na2Mg2BiO6, computed with PBE-GGA.

The value obtained for the formation energy without anion corrections is -1.63 eV/atom.

The space group is C2/m (No. 12) and the conventional cell measures 5.5321, 9.5899 and 5.8847 Å, with angles of 90.00, 110.12 and 90.00 degrees. The inequivalent atoms are Na at (0.0000, 0.1707, 0.0000), Mg at (0.0000, 0.3399, 0.5000), Bi at (0.0000, 0.0000, 0.5000), O at (0.2331, 0.1717, 0.6959) and O at (0.2479, 0.5000, 0.7008).

# 3
An optimized crystal structure of Na2MgBiO, computed with PBE-GGA.

The value obtained for the formation energy without anion corrections is 0.58 eV/atom.

The space group is P4/mmm (No. 123) and the conventional cell measures 6.2234, 6.2234 and 5.1368 Å, with angles of 90.00, 90.00 and 90.00 degrees. The inequivalent atoms are Na at (0.0000, 0.5000, 0.0000), Mg at (0.0000, 0.0000, 0.0000), Bi at (0.0000, 0.0000, 0.5000) and O at (0.5000, 0.5000, 0.5000).

# 4
An optimized crystal structure of NaMgBiPb, computed with PBE-GGA.

The energy relative to the elements comes out at -0.16 eV per atom.

The space group is F-43m (No. 216) and the conventional cell measures 7.6009, 7.6009 and 7.6009 Å, with angles of 90.00, 90.00 and 90.00 degrees. The inequivalent atoms are Na at (0.0000, 0.0000, 0.0000), Mg at (0.0000, 0.0000, 0.5000), Bi at (0.2500, 0.2500, 0.7500) and Pb at (0.2500, 0.2500, 0.2500).

# 5
An optimized crystal structure of Na2Mg5Bi3Pb2, computed with PBE-GGA.

The energy relative to the elements comes out at -0.08 eV per atom.

The space group is I4/mmm (No. 139) and the conventional cell measures 4.6179, 4.6179 and 32.7061 Å, with angles of 90.00, 90.00 and 90.00 degrees. The inequivalent atoms are Na at (0.0000, 0.0000, 0.2301), Mg at (0.0000, 0.0000, 0.5000), Mg at (0.0000, 0.5000, 0.0719), Bi at (0.0000, 0.0000, 0.0000), Bi at (0.0000, 0.0000, 0.1348) and Pb at (0.0000, 0.0000, 0.3398).

# 6
An optimized crystal structure of NaPmMgBi, computed with PBE-GGA.

The energy relative to the elements comes out at -0.20 eV per atom.

The space group is F-43m (No. 216) and the conventional cell measures 7.7623, 7.7623 and 7.7623 Å, with angles of 90.00, 90.00 and 90.00 degrees. The inequivalent atoms are Na at (0.0000, 0.0000, 0.0000), Pm at (0.0000, 0.0000, 0.5000), Mg at (0.2500, 0.2500, 0.7500) and Bi at (0.2500, 0.2500, 0.2500).

# 7
An optimized crystal structure of Na2MgBiPt, computed with PBE-GGA.

The energy relative to the elements comes out at 0.29 eV per atom.

The space group is P4/mmm (No. 123) and the conventional cell measures 5.9954, 5.9954 and 5.0857 Å, with angles of 90.00, 90.00 and 90.00 degrees. The inequivalent atoms are Na at (0.0000, 0.5000, 0.0000), Mg at (0.0000, 0.0000, 0.5000), Bi at (0.5000, 0.5000, 0.0000) and Pt at (0.5000, 0.5000, 0.5000).

# 8
An optimized crystal structure of Na3MgBi2S6, computed with PBE-GGA.

The value obtained for the formation energy without anion corrections is -0.84 eV/atom.

The space group is C2/m (No. 12) and the conventional cell measures 6.8231, 11.8196 and 7.1553 Å, with angles of 90.00, 108.63 and 90.00 degrees. The inequivalent atoms are Na at (0.0000, 0.0000, 0.0000), Na at (0.0000, 0.3264, 0.0000), Mg at (0.0000, 0.5000, 0.5000), Bi at (0.0000, 0.1659, 0.5000), S at (0.2347, 0.3410, 0.7274) and S at (0.2413, 0.5000, 0.2709).

Number 1: total energy -5.39 eV/atom. Number 2: total energy -5.22 eV/atom. Number 3: total energy -2.03 eV/atom. Number 4: total energy -2.79 eV/atom. Number 5: total energy -2.55 eV/atom. Number 6: total energy -3.09 eV/atom. Number 7: total energy -2.54 eV/atom. Number 8: total energy -4.01 eV/atom.